(1)
{
  "formula": "CoS2Br",
  "functional": "PBE-GGA",
  "state": "relaxed",
  "sg": "R-3m, No. 166",
  "raw_formation_energy_kj_per_mol_fu": 193.9,
  "de_polymorph_ev_per_atom": 0.702,
  "density_g_cm3": 4.0,
  "cell": [[1.3926, 0.8040, 12.5273], [-1.3926, 0.8040, 12.5273], [0.0000, -1.6080, 12.5273]],
  "species": ["Co", "S", "S", "Br"],
  "frac_coords": [[0.0000, 0.0000, 0.0000], [0.0563, 0.0563, 0.0563], [0.9437, 0.9437, 0.9437], [0.5000, 0.5000, 0.5000]]
}

---

(2)
{
  "formula": "CoS2Br",
  "functional": "PBE-GGA",
  "state": "relaxed",
  "sg": "I-42d, No. 122",
  "raw_formation_energy_kj_per_mol_fu": 21.5,
  "de_polymorph_ev_per_atom": 0.255,
  "density_g_cm3": 4.0,
  "cell": [[-3.0720, 3.0720, 4.4912], [3.0720, -3.0720, 4.4912], [3.0720, 3.0720, -4.4912]],
  "species": ["Co", "Co", "S", "S", "S", "S", "Br", "Br"],
  "frac_coords": [[0.0000, 0.0000, 0.0000], [0.7500, 0.2500, 0.5000], [0.0169, 0.6250, 0.8919], [0.3750, 0.2669, 0.3919], [0.7331, 0.1250, 0.1081], [0.8750, 0.9831, 0.6081], [0.2500, 0.7500, 0.5000], [0.5000, 0.5000, 0.0000]]
}